## SrTiAu3 (meta-GGA SCAN)

Data for a crystal of SrTiAu3 relaxed with PBEsol.

symmetry = No. 221
DOS at the Fermi energy = 0.6970 states/eV per atom
E_form = 0.76 eV/atom

abc: 5.3531 5.3531 5.3531
angles: 90.00 90.00 90.00
Atoms (fractional coordinates):
Sr 0.0000 0.0000 0.0000
Ti 0.5000 0.5000 0.5000
Au 0.0000 0.0000 0.5000
Au 0.0000 0.5000 0.0000
Au 0.5000 0.0000 0.0000

=====

## Ca2MnAl (meta-GGA SCAN)

Data for a crystal of Ca2MnAl relaxed with PBEsol.

symmetry = No. 8
DOS at the Fermi energy = 0.7816 states/eV per atom
E_form = -0.03 eV/atom

abc: 6.1613 6.1613 5.1930
angles: 114.27 114.27 33.23
Atoms (fractional coordinates):
Ca 0.0000 0.0000 0.0000
Ca 0.2058 0.2058 0.7017
Mn 0.4365 0.4365 0.4375
Al 0.7627 0.7627 0.2572

=====

## CaInAu2 (meta-GGA SCAN)

Data for a crystal of CaInAu2 relaxed with PBEsol.

symmetry = No. 123
DOS at the Fermi energy = 0.4297 states/eV per atom
E_form = -0.63 eV/atom

abc: 3.5438 3.5438 6.6991
angles: 90.00 90.00 90.00
Atoms (fractional coordinates):
Ca 0.0000 0.0000 0.0000
In 0.0000 0.0000 0.5000
Au 0.5000 0.5000 0.2644
Au 0.5000 0.5000 0.7356

=====

## GaCuS2 (meta-GGA SCAN)

Data for a crystal of GaCuS2 relaxed with PBEsol.

symmetry = No. 122
formation energy (no corrections) = -261 kJ/mol of formula units

abc: 6.4279 6.4279 6.4279
angles: 131.53 131.53 70.98
Atoms (fractional coordinates):
Ga 0.0000 0.0000 0.0000
Ga 0.7500 0.2500 0.5000
Cu 0.2500 0.7500 0.5000
Cu 0.5000 0.5000 0.0000
S 0.1292 0.6250 0.0042
S 0.3750 0.3792 0.5042
S 0.6208 0.1250 0.9958
S 0.8750 0.8708 0.4958

=====

## La4Tl5 (meta-GGA SCAN)

Data for a crystal of La4Tl5 relaxed with PBEsol.

symmetry = No. 193
DOS at the Fermi energy = 0.7571 states/eV per atom
E_form = -0.58 eV/atom

abc: 9.6158 9.6158 6.6475
angles: 90.00 90.00 120.00
Atoms (fractional coordinates):
La 0.0000 0.0000 0.0000
La 0.0000 0.0000 0.5000
La 0.0000 0.3687 0.2500
La 0.0000 0.6313 0.7500
La 0.3687 0.0000 0.2500
La 0.3687 0.3687 0.7500
La 0.6313 0.0000 0.7500
La 0.6313 0.6313 0.2500
Tl 0.0000 0.3030 0.7500
Tl 0.0000 0.6970 0.2500
Tl 0.3030 0.0000 0.7500
Tl 0.3030 0.3030 0.2500
Tl 0.3333 0.6667 0.0000
Tl 0.3333 0.6667 0.5000
Tl 0.6667 0.3333 0.0000
Tl 0.6667 0.3333 0.5000
Tl 0.6970 0.0000 0.2500
Tl 0.6970 0.6970 0.7500

=====

## DyAlGe2O7 (meta-GGA SCAN)

Data for a crystal of DyAlGe2O7 relaxed with PBEsol.

symmetry = No. 14
formation energy (no corrections) = -2841 kJ/mol of formula units
DOS at the Fermi energy = 0.0000 states/eV per atom

abc: 7.0976 6.4847 12.5306
angles: 90.00 117.85 90.00
Atoms (fractional coordinates):
Dy 0.2393 0.1470 0.4724
Dy 0.2393 0.3530 0.9724
Dy 0.7607 0.6470 0.0276
Dy 0.7607 0.8530 0.5276
Al 0.2085 0.0991 0.7286
Al 0.2085 0.4009 0.2286
Al 0.7915 0.5991 0.7714
Al 0.7915 0.9009 0.2714
Ge 0.2150 0.6582 0.4553
Ge 0.2150 0.8418 0.9553
Ge 0.3025 0.5884 0.7253
Ge 0.3025 0.9116 0.2253
Ge 0.6975 0.0884 0.7747
Ge 0.6975 0.4116 0.2747
Ge 0.7850 0.1582 0.0447
Ge 0.7850 0.3418 0.5447
O 0.0107 0.6540 0.9215
O 0.0107 0.8460 0.4215
O 0.1524 0.6845 0.1886
O 0.1524 0.8155 0.6886
O 0.2104 0.0558 0.8702
O 0.2104 0.4442 0.3702
O 0.2178 0.1202 0.2800
O 0.2178 0.3798 0.7800
O 0.2546 0.0039 0.0783
O 0.2546 0.4961 0.5783
O 0.4108 0.6680 0.9747
O 0.4108 0.8320 0.4747
O 0.4204 0.1182 0.6888
O 0.4204 0.3818 0.1888
O 0.5796 0.6182 0.8112
O 0.5796 0.8818 0.3112
O 0.5892 0.1680 0.5253
O 0.5892 0.3320 0.0253
O 0.7454 0.5039 0.4217
O 0.7454 0.9961 0.9217
O 0.7822 0.6202 0.2200
O 0.7822 0.8798 0.7200
O 0.7896 0.5558 0.6298
O 0.7896 0.9442 0.1298
O 0.8476 0.1845 0.3114
O 0.8476 0.3155 0.8114
O 0.9893 0.1540 0.5785
O 0.9893 0.3460 0.0785